Record 1
Crystalline LiTb4Pu3Se8 at its relaxed geometry. Source: the Alexandria database, functional PBE.

Geometry as POSCAR:
```
LiTb4Pu3Se8
1.0
4.1041 2.3695 6.7219
-4.1041 2.3695 6.7219
0.0000 -4.7390 6.7219
Li Tb Pu Se
1 4 3 8
Direct
0.0000 0.0000 0.0000
0.0000 0.0000 0.5000
0.0000 0.5000 0.0000
0.5000 0.0000 0.0000
0.5000 0.5000 0.5000
0.0000 0.5000 0.5000
0.5000 0.0000 0.5000
0.5000 0.5000 0.0000
0.2437 0.7531 0.7531
0.2469 0.2469 0.7563
0.2469 0.7563 0.2469
0.2492 0.2492 0.2492
0.7508 0.7508 0.7508
0.7531 0.2437 0.7531
0.7531 0.7531 0.2437
0.7563 0.2469 0.2469
```

Results
SG = R-3m
N(E_F) = 28.03 states/eV/cell
raw formation energy = -26.83 eV/f.u.

***

Record 2
Crystalline Li2IrS at its relaxed geometry. Source: the Alexandria database, functional PBE.

Geometry as POSCAR:
```
Li2IrS
1.0
7.6164 0.0000 0.0000
0.0000 7.6164 0.0000
0.0000 0.0000 4.3988
Li Ir S
8 4 4
Direct
0.1747 0.2500 0.1250
0.2500 0.6747 0.3750
0.2500 0.8253 0.8750
0.3253 0.2500 0.6250
0.6747 0.7500 0.6250
0.7500 0.1747 0.8750
0.7500 0.3253 0.3750
0.8253 0.7500 0.1250
0.0000 0.0000 0.5000
0.0000 0.5000 0.7500
0.5000 0.0000 0.2500
0.5000 0.5000 0.0000
0.0000 0.0000 0.0000
0.0000 0.5000 0.2500
0.5000 0.0000 0.7500
0.5000 0.5000 0.5000
```

Results
SG = I-42d
N(E_F) = 10.19 states/eV/cell
raw formation energy = -1.03 eV/f.u.

***

Record 3
Crystalline Na8SnO6 at its relaxed geometry. Source: the Alexandria database, functional PBE.

Geometry as POSCAR:
```
Na8SnO6
1.0
6.8138 0.0000 0.0000
0.0000 7.0559 0.0000
0.0000 0.0000 9.7220
Na Sn O
16 2 12
Direct
0.0000 0.1845 0.0000
0.0000 0.2129 0.4527
0.2010 0.6949 0.1106
0.2027 0.5745 0.7917
0.2152 0.9530 0.7700
0.2848 0.0470 0.2700
0.2973 0.4255 0.2917
0.2990 0.3051 0.6106
0.5000 0.7871 0.9527
0.5000 0.8155 0.5000
0.7010 0.3051 0.6106
0.7027 0.4255 0.2917
0.7152 0.0470 0.2700
0.7848 0.9530 0.7700
0.7973 0.5745 0.7917
0.7990 0.6949 0.1106
0.0000 0.7292 0.4680
0.5000 0.2708 0.9680
0.0000 0.2559 0.2310
0.0000 0.4919 0.5841
0.0000 0.7753 0.9296
0.0000 0.9597 0.5869
0.2342 0.7380 0.3458
0.2658 0.2620 0.8458
0.5000 0.0403 0.0869
0.5000 0.2247 0.4296
0.5000 0.5081 0.0841
0.5000 0.7441 0.7310
0.7342 0.2620 0.8458
0.7658 0.7380 0.3458
```

Results
SG = Pmn2_1
raw formation energy = -19.91 eV/f.u.

***

Record 4
Crystalline Cr2CdTc2 at its relaxed geometry. Source: the Alexandria database, functional PBE.

Geometry as POSCAR:
```
Cr2CdTc2
1.0
7.3010 0.0000 0.0000
0.0000 7.3010 0.0000
0.0000 0.0000 2.7896
Cr Cd Tc
4 2 4
Direct
0.1323 0.3677 0.0000
0.3677 0.8677 0.0000
0.6323 0.1323 0.0000
0.8677 0.6323 0.0000
0.0000 0.0000 0.0000
0.5000 0.5000 0.0000
0.1588 0.6588 0.5000
0.3412 0.1588 0.5000
0.6588 0.8412 0.5000
0.8412 0.3412 0.5000
```

Results
SG = P4/mbm
energy of formation from the pure elements = 1.6 eV/f.u.
N(E_F) = 8.87 states/eV/cell

***

Record 5
Crystalline LiAcTaN3 at its relaxed geometry. Source: the Alexandria database, functional PBE.

Geometry as POSCAR:
```
LiAcTaN3
1.0
7.1145 0.0000 0.0000
0.0000 3.3108 0.0000
-2.0850 0.0000 6.8443
Li Ac Ta N
2 2 2 6
Direct
0.0790 0.2500 0.0932
0.9210 0.7500 0.9068
0.2211 0.2500 0.7493
0.7789 0.7500 0.2507
0.3218 0.7500 0.3303
0.6782 0.2500 0.6697
0.1479 0.2500 0.3697
0.2120 0.7500 0.0413
0.4606 0.7500 0.6582
0.5394 0.2500 0.3418
0.7880 0.2500 0.9587
0.8521 0.7500 0.6303
```

Results
SG = P2_1/m
raw formation energy = -6.02 eV/f.u.

***

Record 6
Crystalline Ba2B2N3 at its relaxed geometry. Source: the Alexandria database, functional PBE.

Geometry as POSCAR:
```
Ba2B2N3
1.0
5.5468 0.0000 0.0000
0.0000 5.5142 0.0000
-1.3750 0.0000 11.1154
Ba B N
4 4 6
Direct
0.1959 0.0000 0.2898
0.3041 0.5000 0.7102
0.6959 0.5000 0.2898
0.8041 0.0000 0.7102
0.1106 0.5000 0.1121
0.3894 0.0000 0.8879
0.6106 0.0000 0.1121
0.8894 0.5000 0.8879
0.0000 0.5000 0.0000
0.2001 0.5000 0.2278
0.2999 0.0000 0.7722
0.5000 0.0000 0.0000
0.7001 0.0000 0.2278
0.7999 0.5000 0.7722
```

Results
SG = C2/m
N(E_F) = 2.95 states/eV/cell
raw formation energy = -5.62 eV/f.u.

***

Record 7
Crystalline Si2AsP at its relaxed geometry. Source: the Alexandria database, functional PBE.

Geometry as POSCAR:
```
Si2AsP
1.0
4.4640 0.0000 0.0000
0.0000 4.4640 0.0000
0.0000 0.0000 3.1524
Si As P
2 1 1
Direct
0.0000 0.5000 0.0000
0.5000 0.0000 0.0000
0.0000 0.0000 0.5000
0.5000 0.5000 0.5000
```

Results
SG = P4/mmm
N(E_F) = 1.51 states/eV/cell
raw formation energy = 2.19 eV/f.u.

***

Record 8
Crystalline CaU3Tl4O12 at its relaxed geometry. Source: the Alexandria database, functional PBE.

Geometry as POSCAR:
```
CaU3Tl4O12
1.0
-4.3722 4.3722 4.3722
4.3722 -4.3722 4.3722
4.3722 4.3722 -4.3722
Ca U Tl O
1 3 4 12
Direct
0.0000 0.0000 0.0000
0.0000 0.5000 0.5000
0.5000 0.0000 0.5000
0.5000 0.5000 0.0000
0.0000 0.0000 0.5000
0.0000 0.5000 0.0000
0.5000 0.0000 0.0000
0.5000 0.5000 0.5000
0.0000 0.2750 0.2750
0.0000 0.7250 0.7250
0.2500 0.5000 0.7500
0.2500 0.7500 0.5000
0.2750 0.0000 0.2750
0.2750 0.2750 0.0000
0.5000 0.2500 0.7500
0.5000 0.7500 0.2500
0.7250 0.0000 0.7250
0.7250 0.7250 0.0000
0.7500 0.2500 0.5000
0.7500 0.5000 0.2500
```

Results
SG = Im-3m
N(E_F) = 0.00 states/eV/cell
raw formation energy = -49.19 eV/f.u.